(1)
K2PaPd2O6 | PBE | optimized geometry

```
11
Lattice="-1.8994 4.0564 3.6987 0.6268 -5.9437 2.2791 5.8789 3.9617 -1.3259" Properties=species:S:1:pos:R:3 pbc="T T T"
K -0.2037 0.9560 3.4082
K 4.8101 1.1183 1.2436
Pa 1.9898 4.0090 1.1864
Pd 2.9955 1.5820 4.3647
Pd 1.6108 0.4924 0.2872
O 2.5552 2.7554 2.8517
O 1.6339 -3.5925 2.4326
O 3.9494 3.5802 0.3166
O 2.9724 5.6669 2.2193
O 0.6569 -1.5059 4.3353
O 2.0511 -0.6810 1.8002
```

Energy relative to the elements, uncorrected, kJ per mole of atoms: -149.5
Crystal system: monoclinic
Space-group type: No. 12

=====

(2)
KPaPdO6 | PBE | optimized geometry

```
9
Lattice="4.7786 0.0000 0.0000 0.0000 5.6369 0.0000 0.0000 -2.8184 4.8817" Properties=species:S:1:pos:R:3 pbc="T T T"
K 2.3893 2.8184 1.6272
Pa 0.0000 0.0000 3.2544
Pd 2.3893 0.0000 0.0000
O 3.5752 1.7686 3.6224
O 3.5752 -1.2030 4.6021
O 3.5752 -0.5656 1.5388
O 1.2035 0.5656 1.5388
O 1.2035 1.2030 4.6021
O 1.2035 -1.7686 3.6224
```

Energy relative to the elements, uncorrected, kJ per mole of atoms: -141.4
Crystal system: trigonal
Space-group type: No. 149

=====

(3)
K2PaPdO6 | PBE | optimized geometry

```
10
Lattice="5.8940 0.0001 0.0002 2.9471 5.1043 0.0000 2.9470 1.7017 4.8129" Properties=species:S:1:pos:R:3 pbc="T T T"
K 5.8943 3.4032 1.4507
K 2.9468 1.7015 3.8579
Pa 8.8411 5.1046 2.6545
Pd 2.9470 1.7015 0.2480
O 4.3760 0.8814 1.4134
O 1.5222 0.8742 1.4133
O 2.9429 3.3493 1.4131
O 7.3190 4.2306 3.8958
O 5.8983 1.7554 3.8959
O 4.4650 4.2233 3.8956
```

Energy relative to the elements, uncorrected, kJ per mole of atoms: -180.3
Crystal system: cubic
Space-group type: No. 225

=====

(4)
K2PmPaO6 | PBE | optimized geometry

```
10
Lattice="-4.7306 4.1527 0.0386 -3.7371 -4.2830 2.7084 -2.9558 1.3591 5.3946" Properties=species:S:1:pos:R:3 pbc="T T T"
K -5.4633 -1.4946 4.7383
K -5.9602 2.7233 3.4033
Pm 0.0000 0.0000 0.0000
Pa -4.2339 -0.0652 1.3735
O -3.9961 -2.0824 2.0121
O -6.2586 -0.0961 2.0307
O -3.6220 0.6166 3.2990
O -7.4274 3.3111 6.1296
O -5.1649 1.3248 6.1109
O -7.8015 0.6121 4.8427
```

Energy relative to the elements, uncorrected, kJ per mole of atoms: -242.4
Crystal system: cubic
Space-group type: No. 225

=====

(5)
K3PmPa2O9 | PBE | optimized geometry

```
15
Lattice="6.2698 0.0000 0.0000 -3.1349 5.4298 0.0000 0.0000 0.0000 7.6581" Properties=species:S:1:pos:R:3 pbc="T T T"
K 0.0000 3.6199 5.0800
K 0.0000 0.0000 0.0000
K 3.1349 1.8099 2.5782
Pm 0.0000 0.0000 3.8291
Pa 0.0000 3.6199 1.2755
Pa 3.1349 1.8099 6.3826
O 4.6308 0.9463 5.1827
O 3.1349 3.5372 5.1827
O 1.6390 0.9463 5.1827
O 1.4959 4.4835 2.4754
O 0.0000 1.8926 2.4754
O -1.4959 4.4835 2.4754
O 3.1349 0.0000 0.0000
O -1.5674 2.7149 0.0000
O 1.5674 2.7149 0.0000
```

Energy relative to the elements, uncorrected, kJ per mole of atoms: -262.9
Crystal system: trigonal
Space-group type: No. 164

=====

(6)
K2PmPaO5 | PBE | optimized geometry

```
9
Lattice="-3.9717 -1.2656 0.8674 0.7570 -3.7102 -1.9469 2.8226 -3.5149 7.7956" Properties=species:S:1:pos:R:3 pbc="T T T"
K -0.8153 -3.4741 1.6477
K 0.4232 -5.0165 5.0684
Pm 0.0000 0.0000 0.0000
Pa 1.4113 -1.7574 3.8978
O 1.7898 -3.6125 2.9244
O -0.5746 -2.3902 4.3315
O 2.1135 -2.6319 5.8373
O 0.7090 -0.8830 1.9583
O -1.6074 -2.4879 -0.5397
```

Energy relative to the elements, uncorrected, kJ per mole of atoms: -256.0
Crystal system: tetragonal
Space-group type: No. 123

=====

(7)
K4Pr3PaO8 | PBE | optimized geometry

```
16
Lattice="7.2903 0.0000 0.0000 0.0000 7.6135 0.2187 -3.6451 -3.6386 5.1597" Properties=species:S:1:pos:R:3 pbc="T T T"
K 3.6451 0.0000 0.0000
K 1.8226 -1.8193 2.5799
K 0.0000 0.0000 0.0000
K -1.8226 -1.8193 2.5799
Pr 3.6451 3.8068 0.1093
Pr 1.8226 1.9875 2.6892
Pr -1.8226 1.9875 2.6892
Pa 0.0000 3.8068 0.1093
O -1.9640 1.7157 5.1726
O 0.0000 3.6761 2.3926
O 0.0000 0.3392 2.8145
O 1.9640 1.7157 5.1726
O 1.6812 2.2592 0.2058
O 3.6451 3.6357 2.5639
O 3.6451 0.2988 2.9858
O 5.6091 2.2592 0.2058
```

Energy relative to the elements, uncorrected, kJ per mole of atoms: -243.7
Crystal system: trigonal
Space-group type: No. 166

=====

(8)
K2PrPaO5 | PBE | optimized geometry

```
9
Lattice="-2.4813 -2.6455 -2.2385 3.0832 -2.9422 0.0595 -3.3722 -3.3776 7.7299" Properties=species:S:1:pos:R:3 pbc="T T T"
K -0.6486 -3.7449 1.0870
K -2.1218 -5.2205 4.4639
Pr 0.0000 0.0000 0.0000
Pa -1.6861 -1.6888 3.8650
O -0.1445 -3.1599 3.8947
O -2.9268 -3.0116 2.7457
O -2.5162 -2.5202 5.7676
O -0.8561 -0.8574 1.9623
O 0.3009 -2.7939 -1.0895
```

Energy relative to the elements, uncorrected, kJ per mole of atoms: -256.6
Crystal system: tetragonal
Space-group type: No. 123

=====

(9)
KPr2PaO6 | PBE | optimized geometry

```
10
Lattice="-1.6196 4.8932 -3.4417 -5.4713 2.7618 0.9209 -0.0937 5.8439 2.7722" Properties=species:S:1:pos:R:3 pbc="T T T"
K -5.6638 9.7249 -0.2495
Pr -3.7871 6.4669 -0.1843
Pr -0.2066 5.6802 2.5926
Pa -2.2642 2.6959 -0.6820
O -2.3279 4.8602 -1.1812
O -5.5761 5.1109 0.6314
O -4.7655 7.5324 -2.0848
O -4.4407 8.1625 1.5467
O -2.1781 8.3903 -0.0826
O -2.3152 6.3686 1.8461
```

Energy relative to the elements, uncorrected, kJ per mole of atoms: -306.3
Crystal system: trigonal
Space-group type: No. 146

=====

(10)
K3Pr2PaO6 | PBE | optimized geometry

```
12
Lattice="-2.1604 2.8286 5.1556 -3.4921 -0.1302 -5.1997 -0.7307 -6.3648 1.9126" Properties=species:S:1:pos:R:3 pbc="T T T"
K -3.6354 -2.8193 -2.5169
K -2.7478 -0.8472 4.3854
K -3.1916 -1.8332 0.9343
Pr -3.0483 0.8558 -1.7487
Pr -2.6042 1.8425 1.7046
Pa 0.0000 0.0000 0.0000
O -4.8056 -2.5628 3.0832
O -4.4384 0.8169 0.3374
O -1.5777 -1.1037 -1.2147
O -5.2114 -3.4646 -0.0728
O -1.9448 -4.4834 1.5311
O -1.1718 -0.2019 1.9413
```

Energy relative to the elements, uncorrected, kJ per mole of atoms: -243.7
Crystal system: monoclinic
Space-group type: No. 12

=====

(11)
K3PaPt2O9 | PBE | optimized geometry

```
15
Lattice="5.8083 0.0000 0.0000 -2.9041 5.0301 0.0000 0.0000 0.0000 7.1387" Properties=species:S:1:pos:R:3 pbc="T T T"
K 0.0000 3.3534 4.8664
K 0.0000 0.0000 0.0000
K 2.9041 1.6767 2.2723
Pa 0.0000 0.0000 3.5693
Pt 0.0000 3.3534 1.1321
Pt 2.9041 1.6767 6.0065
O 4.2942 0.8742 4.8205
O 2.9041 3.2818 4.8205
O 1.5141 0.8742 4.8205
O 1.3900 4.1559 2.3182
O 0.0000 1.7484 2.3182
O -1.3900 4.1559 2.3182
O 2.9041 0.0000 0.0000
O -1.4521 2.5151 0.0000
O 1.4521 2.5151 0.0000
```

Energy relative to the elements, uncorrected, kJ per mole of atoms: -143.8
Crystal system: trigonal
Space-group type: No. 164

=====

(12)
K4PaPt3O12 | PBE | optimized geometry

```
20
Lattice="7.1299 0.0000 0.0000 -2.3766 6.7222 0.0000 -2.3766 -3.3611 5.8216" Properties=species:S:1:pos:R:3 pbc="T T T"
K 1.1883 1.6805 2.9108
K -1.1883 -1.6805 2.9108
K 3.5650 0.0000 0.0000
K -1.1883 3.3611 0.0000
Pa 0.0000 0.0000 0.0000
Pt 2.3766 -1.6805 2.9108
Pt 2.3766 3.3611 0.0000
Pt -2.3766 1.6805 2.9108
O -1.1883 0.8403 4.3662
O 3.5224 -2.4907 4.3140
O 1.2309 -0.8704 1.5075
O 3.5650 2.5208 1.4554
O 3.5224 4.9814 0.0000
O 1.2309 1.7408 0.0000
O 3.5650 0.0000 2.9108
O -1.1883 3.3611 2.9108
O 1.1883 -0.8403 4.3662
O -3.5224 2.4907 4.3140
O 1.1883 4.2013 1.4554
O -1.2309 0.8704 1.5075
```

Energy relative to the elements, uncorrected, kJ per mole of atoms: -120.3
Crystal system: cubic
Space-group type: No. 229

=====

(13)
K2Pa3PtO12 | PBE | optimized geometry

```
18
Lattice="7.8524 -0.0470 -0.0333 3.8371 6.8512 -0.0333 3.8371 2.2335 6.4771" Properties=species:S:1:pos:R:3 pbc="T T T"
K 9.4015 5.4725 3.8816
K 6.1251 3.5653 2.5288
Pa 3.9262 -0.0235 -0.0167
Pa 1.9185 3.4256 -0.0167
Pa 1.9185 1.1167 3.2385
Pt 0.0000 0.0000 0.0000
O 7.3574 4.2826 6.0074
O 12.1153 7.0521 1.8157
O 9.5005 8.5372 6.0554
O 9.7946 2.8984 2.0558
O 12.1153 4.0450 6.0554
O 7.3574 7.0855 2.0558
O 8.1691 4.7551 0.4029
O 3.4112 1.9856 4.5947
O 6.0261 0.5005 0.3550
O 5.7319 6.1393 4.3546
O 3.4112 4.9928 0.3550
O 8.1691 1.9523 4.3546
```

Energy relative to the elements, uncorrected, kJ per mole of atoms: -228.5
Crystal system: trigonal
Space-group type: No. 166

=====

(14)
K2PaPt3O12 | PBE | optimized geometry

```
18
Lattice="7.6483 0.2601 0.1845 4.0033 6.5220 0.1845 4.0033 2.3303 6.0943" Properties=species:S:1:pos:R:3 pbc="T T T"
K 9.4465 5.4986 3.9001
K 6.2084 3.6138 2.5632
Pa 0.0000 0.0000 0.0000
Pt 3.8241 0.1301 0.0923
Pt 2.0017 3.2610 0.0923
Pt 2.0017 1.1651 3.0472
O 7.3924 4.3030 5.6436
O 12.1852 7.0928 2.4098
O 10.0342 8.3145 5.8974
O 9.5192 3.0951 2.1953
O 12.1852 4.6191 5.8974
O 7.3924 6.7489 2.1953
O 8.2624 4.8094 0.8197
O 3.4696 2.0196 4.0536
O 5.6206 0.7980 0.5660
O 6.1357 6.0173 4.2680
O 3.4696 4.4933 0.5660
O 8.2624 2.3636 4.2680
```

Energy relative to the elements, uncorrected, kJ per mole of atoms: -112.4
Crystal system: trigonal
Space-group type: No. 166

=====

(15)
KPa2PtO8 | PBE | optimized geometry

```
12
Lattice="-2.5586 2.0422 4.3934 -2.9114 -1.7429 -4.3017 -0.3224 -6.8029 2.9745" Properties=species:S:1:pos:R:3 pbc="T T T"
K -0.1612 -3.4015 1.4872
Pa -2.7138 -0.0130 1.8420
Pa -3.0786 -6.4906 1.2242
Pt 0.0000 0.0000 0.0000
O -4.2432 -5.3304 3.4231
O -1.7217 -5.4684 3.3808
O -2.9011 -4.5270 5.4060
O -1.5492 -1.1732 -0.3569
O -4.0708 -1.0352 -0.3146
O -2.8913 -1.9766 -2.3399
O -2.7948 -1.7223 2.5894
O -2.9976 -4.7813 0.4768
```

Energy relative to the elements, uncorrected, kJ per mole of atoms: -206.7
Crystal system: trigonal
Space-group type: No. 164

=====

(16)
K3PaPt2O8 | PBE | optimized geometry

```
14
Lattice="5.7596 0.0000 0.0000 -2.8798 4.9880 0.0000 0.0000 0.0000 8.3416" Properties=species:S:1:pos:R:3 pbc="T T T"
K 0.0000 3.3253 5.4377
K 2.8798 1.6627 2.9039
K 0.0000 0.0000 0.0000
Pa 0.0000 0.0000 4.1708
Pt 0.0000 3.3253 1.6527
Pt 2.8798 1.6627 6.6889
O 0.0000 3.3253 8.1854
O 2.8798 1.6627 0.1562
O -1.3529 4.1064 2.9554
O 4.2327 0.8816 5.3862
O 0.0000 1.7631 2.9554
O 2.8798 3.2249 5.3862
O 1.3529 4.1064 2.9554
O 1.5269 0.8816 5.3862
```

Energy relative to the elements, uncorrected, kJ per mole of atoms: -133.4
Crystal system: trigonal
Space-group type: No. 164

=====

(17)
K2PaPtO4 | PBE | optimized geometry

```
8
Lattice="5.7951 0.1116 0.1709 -2.3683 5.2903 -0.1709 -2.3683 -2.2854 4.7742" Properties=species:S:1:pos:R:3 pbc="T T T"
K 0.5292 3.4521 1.1508
K 0.0000 0.0000 0.0000
Pa 0.5292 -0.3357 3.6234
Pt -2.3683 1.5024 2.3016
O 1.5920 0.4873 2.0169
O -1.5537 -0.1421 3.5164
O 3.1893 2.8923 0.6969
O -1.1107 2.9952 3.3182
```

Energy relative to the elements, uncorrected, kJ per mole of atoms: -174.6
Crystal system: tetragonal
Space-group type: No. 82

=====

(18)
KPuPaO6 | PBE | optimized geometry

```
18
Lattice="-7.8137 1.3103 -0.0934 -1.0001 -6.3010 -4.7315 3.7986 -0.8092 6.9417" Properties=species:S:1:pos:R:3 pbc="T T T"
K -4.6634 -3.6717 2.5418
K -0.3518 -2.1282 -0.4250
Pu -4.4069 -2.4953 -2.4125
Pu -3.9069 0.6552 -0.0467
Pa -2.0076 0.2506 3.4241
Pa 1.8993 -0.4046 3.4709
O -0.7893 -4.5049 2.8325
O -4.0526 0.0805 4.0828
O -5.4553 0.4313 1.2909
O -3.1546 -3.8799 -1.5455
O -2.5477 -0.0563 1.3257
O -6.0621 -3.3923 -1.5803
O -4.2259 -1.2950 -0.7158
O -0.9626 -5.8804 -1.9661
O 0.4400 -6.2311 0.8259
O -1.8606 -1.9200 3.6623
O -2.4675 -5.7435 0.7911
O 1.0469 -2.4076 3.6970
```

Energy relative to the elements, uncorrected, kJ per mole of atoms: -272.7
Crystal system: orthorhombic
Space-group type: No. 74

=====

(19)
K3Pu2PaO9 | PBE | optimized geometry

```
15
Lattice="-4.0924 -4.2482 -1.5581 3.5534 -0.8350 4.8886 -5.1187 3.3561 4.2939" Properties=species:S:1:pos:R:3 pbc="T T T"
K -2.4123 0.2677 5.6062
K 0.0000 0.0000 0.0000
K -3.2454 -1.9948 2.0183
Pu 0.1711 -1.4261 3.4391
Pu -5.8288 -0.3010 4.1853
Pa -2.5594 1.6781 2.1470
O -6.2370 -1.4276 2.3998
O -4.4731 -1.8421 4.8265
O -4.2055 0.6812 3.1732
O -1.4522 -2.4083 4.4512
O -1.1846 0.1150 2.7980
O 0.5793 -0.2995 5.2247
O -2.0462 -2.1241 -0.7790
O 1.7767 -0.4175 2.4443
O -0.2695 -2.5416 1.6653
```

Energy relative to the elements, uncorrected, kJ per mole of atoms: -266.0
Crystal system: trigonal
Space-group type: No. 164

=====

(20)
K2PuPaO6 | PBE | optimized geometry

```
10
Lattice="4.3334 0.0000 0.0000 0.0000 4.3334 0.0000 0.0000 0.0000 8.6772" Properties=species:S:1:pos:R:3 pbc="T T T"
K 0.0000 0.0000 6.4240
K 0.0000 0.0000 2.2532
Pu 2.1667 2.1667 4.3386
Pa 2.1667 2.1667 0.0000
O 2.1667 0.0000 0.0000
O 2.1667 0.0000 4.3386
O 0.0000 2.1667 0.0000
O 0.0000 2.1667 4.3386
O 2.1667 2.1667 6.4750
O 2.1667 2.1667 2.2022
```

Energy relative to the elements, uncorrected, kJ per mole of atoms: -275.2
Crystal system: tetragonal
Space-group type: No. 123